Na6Co2AsC4O16 PBE+U relaxed; SG = Fd-3, No. 203; calculated total energy = -364.7 eV/cell
1.0
-7.708 -0.656 6.300
-8.947 -2.875 -3.347
-3.633 -8.942 2.523
Na Co As C O
12 4 2 8 32
Cartesian
-12.944 -5.073 2.830
-9.629 -4.791 0.121
-9.096 -3.837 4.269
-18.016 -8.192 4.199
-11.191 -8.636 1.206
-10.658 -7.682 5.354
-14.168 -6.956 5.638
-14.701 -7.910 1.490
-7.344 -7.400 2.646
-15.730 -10.801 6.723
-16.263 -11.755 2.575
-12.416 -10.518 4.014
-6.390 -1.887 3.834
-7.010 -2.997 -0.989
-2.536 -1.559 0.684
-4.352 -6.030 1.946
-15.216 -9.355 4.107
-10.144 -6.237 2.738
-16.132 -5.650 3.372
-12.610 -6.082 -0.263
-11.821 -4.670 5.875
-6.917 -4.253 1.867
-18.443 -11.339 4.978
-13.539 -10.922 0.970
-12.750 -9.510 7.107
-9.228 -9.942 3.472
-15.061 -5.279 4.009
-7.126 -3.032 5.447
-9.539 -5.161 -2.281
-11.981 -5.032 -0.701
-13.786 -8.476 3.721
-10.686 -4.117 6.183
-12.656 -4.050 5.096
-16.308 -9.286 2.777
-15.959 -8.661 5.496
-13.593 -5.947 0.576
-12.219 -7.269 -0.621
-14.810 -10.997 4.432
-7.372 -3.248 2.554
-12.097 -5.867 6.301
-7.211 -4.364 0.606
-10.198 -7.542 7.738
-6.214 -5.175 2.454
-10.441 -10.572 -0.061
-13.262 -9.725 0.543
-14.355 -3.402 1.767
-10.550 -4.595 2.412
-5.433 -7.667 1.166
-11.767 -9.645 6.268
-9.052 -6.305 4.067
-9.401 -6.931 1.348
-9.072 -2.600 -0.774
-5.727 -8.600 4.009
-11.573 -7.116 3.124
-9.746 -1.618 5.022
-8.113 -9.775 2.826
-9.286 -9.685 4.745
-10.299 -10.313 2.836